First-principles (PBE with a Hubbard U) data for BaNaFe2F9 after structural relaxation, as listed in Alexandria via LeMat-Bulk.

abc: 17.465 5.410 9.070
angles: 54.66 90.00 90.00
Last column: magnetic moment on the atom in μB.
Atoms (fractional coordinates):
F 0.969 0.998 0.755  0.02
F 0.581 0.168 0.862  0.02
F 0.031 0.002 0.245  0.02
Ba 0.785 0.344 0.429  0.00
F 0.932 0.831 0.091  0.02
F 0.814 0.002 0.217  0.01
F 0.581 0.616 0.934  0.01
F 0.164 0.209 0.272  0.02
Fe 0.421 0.987 0.276  -1.08
F 0.186 0.998 0.783  0.01
F 0.919 0.168 0.362  0.02
F 0.314 0.998 0.283  0.01
F 0.081 0.832 0.638  0.02
Fe 0.379 0.184 0.591  -1.06
F 0.292 0.357 0.445  0.01
F 0.531 0.998 0.255  0.02
F 0.924 0.418 0.001  0.02
Na 0.041 0.435 0.313  0.00
F 0.161 0.793 0.204  0.02
F 0.686 0.002 0.717  0.01
F 0.208 0.357 0.945  0.01
Fe 0.121 0.184 0.091  -1.06
Ba 0.285 0.656 0.071  0.00
Na 0.459 0.435 0.813  0.00
Fe 0.879 0.816 0.909  -1.06
F 0.336 0.209 0.772  0.02
Na 0.541 0.565 0.187  0.00
Ba 0.715 0.344 0.929  0.00
F 0.664 0.791 0.228  0.02
F 0.419 0.384 0.066  0.01
F 0.081 0.384 0.566  0.01
Fe 0.621 0.816 0.409  -1.06
F 0.469 0.002 0.745  0.02
F 0.836 0.791 0.728  0.02
Fe 0.579 0.013 0.724  -1.08
F 0.919 0.616 0.434  0.01
F 0.076 0.582 0.999  0.02
F 0.432 0.169 0.409  0.02
F 0.708 0.643 0.555  0.01
F 0.839 0.207 0.796  0.02
F 0.424 0.582 0.499  0.02
Na 0.959 0.565 0.687  0.00
Ba 0.215 0.656 0.571  0.00
F 0.419 0.832 0.138  0.02
F 0.339 0.793 0.704  0.02
F 0.576 0.418 0.501  0.02
F 0.068 0.169 0.909  0.02
F 0.568 0.831 0.591  0.02
Fe 0.921 0.013 0.224  -1.08
F 0.661 0.207 0.296  0.02
Fe 0.079 0.987 0.776  -1.08
F 0.792 0.643 0.055  0.01

Calculated values
- space-group type = P2_1/c, No. 14
- VASP energy (eV/atom) = -4.948